# Pm2TmScSb4

An optimized crystal structure of Pm2TmScSb4 (PBE, Alexandria).

Lattice parameters (Å, degrees): 7.5631 4.3831 7.5872 90.00 109.54 90.00
Space group P2/m (No. 10)
Unique sites:
Pm 0.0000 0.0000 0.0000 [1 per cell]
Pm 0.0000 0.5000 0.5000 [1 per cell]
Tm 0.5000 0.0000 0.5000 [1 per cell]
Sc 0.5000 0.5000 0.0000 [1 per cell]
Sb 0.2643 0.5000 0.2498 [2 per cell]
Sb 0.2680 0.0000 0.7609 [2 per cell]

* calculated total energy: -45.4 eV for the cell shown
* energy relative to the elements, uncorrected: -1.0812 eV/atom
* N(E_F): 1.22 states/eV per cell